No. 1
# Ac3La4NdS8

An optimized crystal structure of Ac3La4NdS8 (PBE, the Alexandria database).

a = 8.409 Å, b = 8.410 Å, c = 8.410 Å
α = 120.00°, β = 120.00°, γ = 90.00°
Positions (direct):
1 S 0.248 0.755 0.007
2 S 0.759 0.755 0.007
3 S 0.752 0.245 0.993
4 Ac 0.500 0.500 0.000
5 Ac 0.500 0.500 0.500
6 S 0.248 0.755 0.496
7 Ac 0.000 0.500 0.500
8 S 0.241 0.245 0.993
9 La 0.000 0.000 0.500
10 Nd 0.000 0.500 0.000
11 S 0.247 0.240 0.493
12 La 0.500 0.000 0.000
13 S 0.753 0.760 0.507
14 La 0.000 0.000 0.000
15 La 0.500 0.000 0.500
16 S 0.752 0.245 0.504

Properties
calculated total energy	-6.4471	eV/atom
SG	R-3m, No. 166
uncorrected formation energy	-2.083	eV per atom
magnetic moment	0.00	μB/f.u.
DOS(E_F)	8.44	states/eV per cell

No. 2
# La2BeZnCo

An optimized crystal structure of La2BeZnCo (PBE, the Alexandria database).

a = 5.251 Å, b = 5.251 Å, c = 4.257 Å
α = 90.00°, β = 90.00°, γ = 90.00°
Positions (direct):
1 Co 0.000 0.000 0.000
2 La 0.000 0.500 0.000
3 Be 0.000 0.000 0.500
4 Zn 0.500 0.500 0.500
5 La 0.500 0.000 0.000

Properties
calculated total energy	-4.4522	eV/atom
SG	P4/mmm, No. 123
magnetic moment	0.00	μB/f.u.
DOS(E_F)	3.97	states/eV per cell
formation enthalpy at 0 K	-0.30	eV/f.u.

No. 3
# Co2HgTe

An optimized crystal structure of Co2HgTe (PBE, the Alexandria database).

a = 6.211 Å, b = 6.211 Å, c = 6.211 Å
α = 152.11°, β = 138.78°, γ = 50.50°
Positions (direct):
1 Co 0.824 0.324 0.500
2 Hg 0.476 0.476 0.000
3 Te 0.202 0.702 0.500
4 Co 0.998 0.998 0.000

Properties
calculated total energy	-3.9854	eV/atom
SG	Imm2, No. 44
uncorrected formation energy	0.428	eV per atom
magnetic moment	2.90	μB/f.u.
DOS(E_F)	6.22	states/eV per cell

No. 4
# BeSiCl2

An optimized crystal structure of BeSiCl2 (PBE, the Alexandria database).

a = 4.727 Å, b = 4.727 Å, c = 4.727 Å
α = 60.00°, β = 60.00°, γ = 60.00°
Positions (direct):
1 Cl 0.250 0.250 0.250
2 Be 0.500 0.500 0.500
3 Cl 0.000 0.000 0.000
4 Si 0.750 0.750 0.750

Properties
calculated total energy	-2.4451	eV/atom
SG	F-43m, No. 216
uncorrected formation energy	0.766	eV per atom
magnetic moment	0.00	μB/f.u.
DOS(E_F)	2.08	states/eV per cell

No. 5
# Cs2ErOsO6

An optimized crystal structure of Cs2ErOsO6 (PBE, the Alexandria database).

a = 5.700 Å, b = 6.672 Å, c = 6.672 Å
α = 120.00°, β = 90.00°, γ = 90.00°
Positions (direct):
1 Er 0.500 0.000 0.000
2 O 0.794 0.132 0.263
3 O 0.206 0.868 0.737
4 Cs 0.153 0.333 0.667
5 O 0.206 0.263 0.132
6 Cs 0.847 0.667 0.333
7 O 0.206 0.868 0.132
8 Os 0.000 0.000 0.000
9 O 0.794 0.132 0.868
10 O 0.794 0.737 0.868

Properties
calculated total energy	-6.4975	eV/atom
SG	P-3m1, No. 164
uncorrected formation energy	-1.773	eV per atom
magnetic moment	1.00	μB/f.u.
DOS(E_F)	5.61	states/eV per cell

No. 6
# Pd2RhSe2

An optimized crystal structure of Pd2RhSe2 (PBE, the Alexandria database).

a = 6.893 Å, b = 6.893 Å, c = 3.580 Å
α = 90.00°, β = 90.00°, γ = 90.00°
Positions (direct):
1 Rh 0.000 0.000 0.000
2 Se 0.167 0.333 0.000
3 Pd 0.145 0.645 0.500
4 Se 0.667 0.167 0.000
5 Se 0.833 0.667 0.000
6 Pd 0.355 0.145 0.500
7 Pd 0.855 0.355 0.500
8 Rh 0.500 0.500 0.000
9 Pd 0.645 0.855 0.500
10 Se 0.333 0.833 0.000

Properties
calculated total energy	-4.9740	eV/atom
SG	P4/mbm, No. 127
uncorrected formation energy	-0.033	eV per atom
magnetic moment	0.00	μB/f.u.
DOS(E_F)	11.06	states/eV per cell

No. 7
# CePrHo2Se4

An optimized crystal structure of CePrHo2Se4 (PBE, the Alexandria database).

a = 4.087 Å, b = 7.321 Å, c = 7.110 Å
α = 71.29°, β = 90.00°, γ = 90.00°
Positions (direct):
1 Se 0.000 0.766 0.747
2 Se 0.500 0.767 0.242
3 Ce 0.500 0.500 0.000
4 Pr 0.000 0.500 0.500
5 Se 0.000 0.234 0.253
6 Ho 0.500 0.000 0.500
7 Ho 0.000 0.000 0.000
8 Se 0.500 0.233 0.758

Properties
calculated total energy	-6.0142	eV/atom
SG	P2/m, No. 10
uncorrected formation energy	-1.788	eV per atom
magnetic moment	1.05	μB/f.u.
DOS(E_F)	8.55	states/eV per cell

No. 8
# La2Pr5Y4

An optimized crystal structure of La2Pr5Y4 (PBE, the Alexandria database).

a = 3.593 Å, b = 11.891 Å, c = 9.241 Å
α = 93.82°, β = 101.21°, γ = 90.00°
Positions (direct):
1 Y 0.968 0.741 0.937
2 Pr 0.095 0.536 0.191
3 Y 0.361 0.201 0.721
4 Pr 0.500 0.000 0.000
5 Pr 0.905 0.464 0.809
6 Y 0.032 0.259 0.063
7 Pr 0.824 0.929 0.648
8 Y 0.639 0.799 0.279
9 La 0.282 0.643 0.564
10 Pr 0.176 0.071 0.352
11 La 0.718 0.357 0.436

Properties
calculated total energy	-5.3584	eV/atom
SG	C2/m, No. 12
magnetic moment	0.00	μB/f.u.
DOS(E_F)	15.53	states/eV per cell
formation enthalpy at 0 K	0.67	eV/f.u.

> Which of these has the lowest calculated total energy?

Cs2ErOsO6

> Number 4 is which compound?

BeSiCl2